First-principles (PBE) data for an optimized crystal structure of La3PrZn, as listed in the Alexandria database. Values from VASP.

Structure (Quantum ESPRESSO input):
```
&SYSTEM
  ibrav = 0, nat = 10, ntyp = 3
/
ATOMIC_SPECIES
La 138.91 La.upf
Zn 65.41 Zn.upf
Pr 140.91 Pr.upf
CELL_PARAMETERS angstrom
-3.247 -1.589 -3.998
6.500 -4.115 -3.644
-5.006 -4.173 5.725
ATOMIC_POSITIONS angstrom
La 0.981 -7.556 0.340
La 0.533 -3.584 -0.875
Zn -0.075 -6.329 -2.930
La -2.330 -6.315 -1.098
La -4.992 -4.630 0.395
Zn -1.728 -3.573 0.950
La 3.194 -5.269 -2.367
Pr -2.395 -5.950 2.445
Pr 0.599 -3.948 -4.416
La -2.779 -2.342 -2.312
```

Calculated values
distance to the lowest polymorph of the same formula: 0.1250 eV/atom
magnetic moment: 0.00 μB/atom
E: -0.1528 hartree per atom



First-principles (PBE) data for an optimized crystal structure of MgRhF, as listed in the Alexandria database. Values from VASP.

Structure (Quantum ESPRESSO input):
```
&SYSTEM
  ibrav = 0, nat = 3, ntyp = 3
/
ATOMIC_SPECIES
Rh 102.91 Rh.upf
Mg 24.30 Mg.upf
F 19.00 F.upf
CELL_PARAMETERS angstrom
0.000 2.850 2.850
2.850 0.000 2.850
2.850 2.850 0.000
ATOMIC_POSITIONS angstrom
Rh 1.425 1.425 1.425
Mg 4.275 4.275 4.275
F 0.000 0.000 0.000
```

Calculated values
distance to the lowest polymorph of the same formula: 1.3048 eV/atom
energy relative to the elements, uncorrected: -0.36 eV per atom
magnetic moment: 0.27 μB/atom
E: -0.1459 hartree per atom



First-principles (PBE) data for an optimized crystal structure of Mg3Mn, as listed in the Alexandria database. Values from VASP.

Structure (Quantum ESPRESSO input):
```
&SYSTEM
  ibrav = 0, nat = 4, ntyp = 2
/
ATOMIC_SPECIES
Mg 24.30 Mg.upf
Mn 54.94 Mn.upf
CELL_PARAMETERS angstrom
-1.085 -4.013 -3.295
-1.668 -2.918 4.103
-4.917 1.876 -0.664
ATOMIC_POSITIONS angstrom
Mg -2.458 0.938 -0.332
Mg -0.543 -2.006 -1.647
Mn 0.000 0.000 0.000
Mg -0.834 -1.459 2.052
```

Calculated values
magnetic moment: 0.99 μB/atom
E: -0.0970 hartree per atom